Entry 1:
The following is a PBE calculation of an optimized crystal structure of KSc2Se2, from the Alexandria database.

Results
- Space group: No. 139
- Formation energy from raw total energies: -1139 meV/atom

abc: 7.6877 7.6877 7.6877
angles: 145.82 145.82 49.11
Sites, in units of the cell vectors:
K (0.0000, 0.0000, 0.0000)
Sc (0.2500, 0.7500, 0.5000)
Sc (0.7500, 0.2500, 0.5000)
Se (0.3540, 0.3540, 0.0000)
Se (0.6460, 0.6460, 0.0000)

Entry 2:
The following is a PBE calculation of an optimized crystal structure of NpSbPt4, from the Alexandria database.

Results
- Space group: No. 216
- Formation energy from raw total energies: -430 meV/atom

abc: 5.4219 5.4219 5.4219
angles: 60.00 60.00 60.00
Sites, in units of the cell vectors:
Np (0.0000, 0.0000, 0.0000)
Sb (0.7500, 0.7500, 0.7500)
Pt (0.3747, 0.3747, 0.3747)
Pt (0.3747, 0.3747, 0.8760)
Pt (0.3747, 0.8760, 0.3747)
Pt (0.8760, 0.3747, 0.3747)

Entry 3:
The following is a PBE calculation of an optimized crystal structure of La2ZrH, from the Alexandria database.

Results
- Energy: -19.25 eV for the cell shown
- Space group: No. 225

abc: 5.2499 5.2499 5.2499
angles: 60.00 60.00 60.00
Sites, in units of the cell vectors:
La (0.2500, 0.2500, 0.2500)
La (0.7500, 0.7500, 0.7500)
Zr (0.0000, 0.0000, 0.0000)
H (0.5000, 0.5000, 0.5000)

Entry 4:
The following is a PBE calculation of an optimized crystal structure of Rb2ZnAsO4, from the Alexandria database.

Results
- Space group: No. 70
- Formation energy from raw total energies: -1275 meV/atom

abc: 12.4298 11.0361 6.8659
angles: 84.53 62.11 33.36
Sites, in units of the cell vectors:
Rb (0.0505, 0.0505, 0.6995)
Rb (0.3005, 0.3005, 0.9495)
Rb (0.6995, 0.6995, 0.0505)
Rb (0.9495, 0.9495, 0.3005)
Zn (0.1250, 0.1250, 0.1250)
Zn (0.8750, 0.8750, 0.8750)
As (0.3750, 0.3750, 0.3750)
As (0.6250, 0.6250, 0.6250)
O (0.0318, 0.6339, 0.5542)
O (0.2801, 0.5542, 0.6339)
O (0.3661, 0.9682, 0.7199)
O (0.4458, 0.7199, 0.9682)
O (0.5542, 0.2801, 0.0318)
O (0.6339, 0.0318, 0.2801)
O (0.7199, 0.4458, 0.3661)
O (0.9682, 0.3661, 0.4458)

Entry 5:
The following is a PBE calculation of an optimized crystal structure of Tm4ScTe2, from the Alexandria database.

Results
- Space group: No. 139
- Formation energy from raw total energies: 121 meV/atom

abc: 8.7541 8.7541 8.7541
angles: 144.92 144.92 50.46
Sites, in units of the cell vectors:
Tm (0.0000, 0.5000, 0.5000)
Tm (0.1801, 0.1801, 0.0000)
Tm (0.5000, 0.0000, 0.5000)
Tm (0.8199, 0.8199, 0.0000)
Sc (0.0000, 0.0000, 0.0000)
Te (0.3655, 0.3655, 0.0000)
Te (0.6345, 0.6345, 0.0000)

Entry 6:
The following is a PBE calculation of an optimized crystal structure of NdLu2Hf, from the Alexandria database.

Results
- Calculated formation energy: 0.262 eV/atom
- Space group: No. 225

abc: 5.4353 5.4353 5.4353
angles: 60.00 60.00 60.00
Sites, in units of the cell vectors:
Nd (0.0000, 0.0000, 0.0000)
Lu (0.2500, 0.2500, 0.2500)
Lu (0.7500, 0.7500, 0.7500)
Hf (0.5000, 0.5000, 0.5000)

Entry 7:
The following is a PBE calculation of an optimized crystal structure of BiPd2Au6, from the Alexandria database.

Results
- Calculated formation energy: -0.053 eV/atom
- Space group: No. 12

abc: 6.8477 6.8477 6.4152
angles: 109.03 109.03 36.13
Sites, in units of the cell vectors:
Bi (0.0000, 0.0000, 0.0000)
Pd (0.4524, 0.4524, 0.6769)
Pd (0.5476, 0.5476, 0.3231)
Au (0.1098, 0.1098, 0.6479)
Au (0.2333, 0.2333, 0.3443)
Au (0.3255, 0.3255, 0.9899)
Au (0.6745, 0.6745, 0.0101)
Au (0.7667, 0.7667, 0.6557)
Au (0.8902, 0.8902, 0.3521)

Entry 8:
The following is a PBE calculation of an optimized crystal structure of CeSm7Er3, from the Alexandria database.

Results
- Calculated formation energy: 0.245 eV/atom
- Space group: No. 71

abc: 8.4709 8.4709 8.4709
angles: 139.81 97.36 96.20
Sites, in units of the cell vectors:
Ce (0.0000, 0.0000, 0.0000)
Sm (0.0000, 0.5000, 0.5000)
Sm (0.0964, 0.2940, 0.8025)
Sm (0.2856, 0.0000, 0.2856)
Sm (0.4915, 0.2940, 0.1975)
Sm (0.5085, 0.7060, 0.8025)
Sm (0.7144, 0.0000, 0.7144)
Sm (0.9036, 0.7060, 0.1975)
Er (0.2992, 0.7992, 0.5000)
Er (0.5000, 0.5000, 0.0000)
Er (0.7008, 0.2008, 0.5000)